Version one
# Cr2TeAs

Crystalline Cr2TeAs at its relaxed geometry (GGA-PBE, the Alexandria database).

abc: 4.1769 5.3390 6.9977
angles: 90.00 90.00 90.00
Last column: nearest neighbours and their distance in Å.
Positions (direct):
Cr (0.0000, 0.0000, 0.2199)  2 As 2.59, 2 Te 2.86
Cr (0.0000, 0.0000, 0.7801)  2 As 2.59, 2 Te 2.86
Cr (0.5000, 0.5000, 0.2801)  2 As 2.59, 2 Te 2.86
Cr (0.5000, 0.5000, 0.7199)  2 As 2.59, 2 Te 2.86
Te (0.0000, 0.5000, 0.0000)  8 Cr 2.86-3.08
Te (0.5000, 0.0000, 0.5000)  8 Cr 2.86-3.08
As (0.0000, 0.5000, 0.5000)  4 Cr 2.59
As (0.5000, 0.0000, 0.0000)  4 Cr 2.59

SG: Immm


Version two
# Cr2TeAs

Crystalline Cr2TeAs at its relaxed geometry (GGA-PBE, the Alexandria database).

abc: 6.8015 6.8015 6.8015
angles: 90.00 90.00 90.00
Last column: nearest neighbours and their distance in Å.
Positions (direct):
Cr (0.0000, 0.0000, 0.0000)  4 Cr 2.95, 4 As 2.95
Cr (0.0000, 0.5000, 0.5000)  4 As 2.95, 4 Cr 2.95
Cr (0.2500, 0.2500, 0.2500)  4 Cr 2.95, 4 Te 2.95
Cr (0.2500, 0.7500, 0.7500)  4 Cr 2.95, 4 Te 2.95
Cr (0.5000, 0.0000, 0.5000)  4 As 2.95, 4 Cr 2.95
Cr (0.5000, 0.5000, 0.0000)  4 As 2.95, 4 Cr 2.95
Cr (0.7500, 0.2500, 0.7500)  4 Cr 2.95, 4 Te 2.95
Cr (0.7500, 0.7500, 0.2500)  4 Cr 2.95, 4 Te 2.95
Te (0.0000, 0.0000, 0.5000)  4 Cr 2.95, 4 As 2.95
Te (0.0000, 0.5000, 0.0000)  4 Cr 2.95, 4 As 2.95
Te (0.5000, 0.0000, 0.0000)  4 Cr 2.95, 4 As 2.95
Te (0.5000, 0.5000, 0.5000)  4 Cr 2.95, 4 As 2.95
As (0.2500, 0.2500, 0.7500)  4 Cr 2.95, 4 Te 2.95
As (0.2500, 0.7500, 0.2500)  4 Cr 2.95, 4 Te 2.95
As (0.7500, 0.2500, 0.2500)  4 Cr 2.95, 4 Te 2.95
As (0.7500, 0.7500, 0.7500)  4 Cr 2.95, 4 Te 2.95

SG: F-43m


Version three
# Cr2TeAs

Crystalline Cr2TeAs at its relaxed geometry (GGA-PBE, the Alexandria database).

abc: 3.1483 3.1483 6.4065
angles: 90.00 90.00 90.00
Last column: nearest neighbours and their distance in Å.
Positions (direct):
Cr (0.0000, 0.0000, 0.2178)  4 As 2.63, 1 Cr 2.79, 4 Te 2.87
Cr (0.0000, 0.0000, 0.7822)  4 As 2.63, 1 Cr 2.79, 4 Te 2.87
Te (0.5000, 0.5000, 0.5000)  8 Cr 2.87, 4 Te 3.15, 2 As 3.20
As (0.5000, 0.5000, 0.0000)  8 Cr 2.63

SG: P4/mmm


Taking the most stable structure as the zero point, the relative energies in kJ/mol of atoms are version one 0.0; version two 43.3; version three 2.4.


Version one
# Cr2TeAs

Crystalline Cr2TeAs at its relaxed geometry (GGA-PBE, the Alexandria database).

abc: 4.3618 5.1100 6.8608
angles: 90.00 90.00 90.00
Last column: nearest neighbours and their distance in Å.
Positions (direct):
Cr (0.0000, 0.0000, 0.2183)  4 As 2.65-2.96, 2 Te 2.91
Cr (0.0000, 0.0000, 0.7817)  4 As 2.65-2.96, 2 Te 2.91
Cr (0.5000, 0.5000, 0.2183)  4 As 2.65-2.96, 2 Te 2.91
Cr (0.5000, 0.5000, 0.7817)  4 As 2.65-2.96, 2 Te 2.91
Te (0.0000, 0.5000, 0.5000)  8 Cr 2.91-3.20
Te (0.5000, 0.0000, 0.5000)  8 Cr 2.91-3.20
As (0.0000, 0.5000, 0.0000)  8 Cr 2.65-2.96
As (0.5000, 0.0000, 0.0000)  8 Cr 2.65-2.96

SG: Cmmm


Version two
# Cr2TeAs

Crystalline Cr2TeAs at its relaxed geometry (GGA-PBE, the Alexandria database).

abc: 3.1191 3.1191 7.6037
angles: 90.00 90.00 90.00
Last column: nearest neighbours and their distance in Å.
Positions (direct):
Cr (0.0000, 0.0000, 0.0000)  4 As 2.55, 4 Cr 2.61
Cr (0.5000, 0.5000, 0.1833)  4 Cr 2.61, 1 As 2.68, 4 Te 2.70
Te (0.0000, 0.0000, 0.3882)  5 Cr 2.70-2.95
As (0.5000, 0.5000, 0.8308)  5 Cr 2.55-2.68

SG: P4mm


Taking the most stable structure as the zero point, the relative energies in kJ/mol of atoms are version one 14.1; version two 0.0.


Version one
# Cr2TeAs

Crystalline Cr2TeAs at its relaxed geometry (GGA-PBE, the Alexandria database).

abc: 3.3638 3.3933 6.7458
angles: 90.00 97.86 90.00
Last column: nearest neighbours and their distance in Å.
Positions (direct):
Cr (0.0337, 0.0000, 0.2792)  2 As 2.63
Cr (0.9663, 0.0000, 0.7208)  2 As 2.63
Te (0.5000, 0.5000, 0.0000)  8 Cr 2.95-3.11
As (0.5000, 0.5000, 0.5000)  4 Cr 2.63

SG: P2/m


Version two
# Cr2TeAs

Crystalline Cr2TeAs at its relaxed geometry (GGA-PBE, the Alexandria database).

abc: 3.8725 5.3689 3.8795
angles: 90.00 90.33 90.00
Last column: nearest neighbours and their distance in Å.
Positions (direct):
Cr (0.0000, 0.0000, 0.0000)  2 As 2.70, 4 Te 2.73-2.76
Cr (0.4255, 0.5000, 0.5885)  3 As 2.58-2.75, 2 Te 2.72
Te (0.4988, 0.0000, 0.5014)  6 Cr 2.72-2.76
As (0.9534, 0.5000, 0.0549)  5 Cr 2.58-2.75

SG: Pm


Version three
# Cr2TeAs

Crystalline Cr2TeAs at its relaxed geometry (GGA-PBE, the Alexandria database).

abc: 3.6438 3.4923 12.8653
angles: 90.00 90.00 90.00
Last column: nearest neighbours and their distance in Å.
Positions (direct):
Cr (0.0000, 0.0000, 0.0000)  4 As 2.57, 1 Te 2.73
Cr (0.0000, 0.5000, 0.5000)  4 As 2.57, 1 Te 2.73
Cr (0.5000, 0.0000, 0.1911)  2 As 2.62, 4 Te 2.81
Cr (0.5000, 0.5000, 0.6911)  2 As 2.62, 4 Te 2.81
Te (0.0000, 0.0000, 0.7876)  5 Cr 2.73-2.81
Te (0.0000, 0.5000, 0.2876)  5 Cr 2.73-2.81
As (0.5000, 0.0000, 0.5395)  6 Cr 2.57-2.62
As (0.5000, 0.5000, 0.0395)  6 Cr 2.57-2.62

SG: Amm2


Taking the most stable structure as the zero point, the relative energies in kJ/mol of atoms are version one 23.3; version two 3.0; version three 0.0.


Version one
# Cr3TeAs

Crystalline Cr3TeAs at its relaxed geometry (GGA-PBE, the Alexandria database).

abc: 4.8833 4.8833 4.8833
angles: 90.00 90.00 90.00
Last column: nearest neighbours and their distance in Å.
Positions (direct):
Cr (0.0000, 0.0000, 0.5000)  2 As 2.44
Cr (0.0000, 0.5000, 0.0000)  2 As 2.44
Cr (0.5000, 0.0000, 0.0000)  2 As 2.44
Te (0.5000, 0.5000, 0.5000)  12 Cr 3.45
As (0.0000, 0.0000, 0.0000)  6 Cr 2.44

SG: Pm-3m


Version two
# Cr3TeAs

Crystalline Cr3TeAs at its relaxed geometry (GGA-PBE, the Alexandria database).

abc: 5.1272 5.1272 5.1272
angles: 90.00 90.00 90.00
Last column: nearest neighbours and their distance in Å.
Positions (direct):
Cr (0.0000, 0.0000, 0.5000)  2 Te 2.56
Cr (0.0000, 0.5000, 0.0000)  2 Te 2.56
Cr (0.5000, 0.0000, 0.0000)  2 Te 2.56
Te (0.0000, 0.0000, 0.0000)  6 Cr 2.56
As (0.5000, 0.5000, 0.5000)  12 Cr 3.63

SG: Pm-3m


Taking the most stable structure as the zero point, the relative energies in kJ/mol of atoms are version one 0.0; version two 53.7.


Version one
# TiCr2As2

Crystalline TiCr2As2 at its relaxed geometry (GGA-PBE, the Alexandria database).

abc: 3.8328 3.8328 10.5521
angles: 90.00 90.00 90.00
Last column: nearest neighbours and their distance in Å.
Positions (direct):
Ti (0.0000, 0.0000, 0.0000)  8 As 2.98, 8 Cr 3.26
Ti (0.5000, 0.5000, 0.5000)  8 As 2.98, 8 Cr 3.26
Cr (0.0000, 0.5000, 0.2500)  4 As 2.38
Cr (0.0000, 0.5000, 0.7500)  4 As 2.38
Cr (0.5000, 0.0000, 0.2500)  4 As 2.38
Cr (0.5000, 0.0000, 0.7500)  4 As 2.38
As (0.0000, 0.0000, 0.3834)  4 Cr 2.38, 1 As 2.46
As (0.0000, 0.0000, 0.6166)  4 Cr 2.38, 1 As 2.46
As (0.5000, 0.5000, 0.1166)  4 Cr 2.38, 1 As 2.46
As (0.5000, 0.5000, 0.8834)  4 Cr 2.38, 1 As 2.46

SG: I4/mmm


Version two
# TiCr2As2

Crystalline TiCr2As2 at its relaxed geometry (GGA-PBE, the Alexandria database).

abc: 6.8965 6.8965 3.1022
angles: 90.00 90.00 90.00
Last column: nearest neighbours and their distance in Å.
Positions (direct):
Ti (0.0000, 0.0000, 0.0000)  4 As 2.61
Ti (0.5000, 0.5000, 0.0000)  4 As 2.61
Cr (0.1391, 0.3609, 0.5000)  6 As 2.54-2.55, 1 Cr 2.71
Cr (0.3609, 0.8609, 0.5000)  6 As 2.54-2.55, 1 Cr 2.71
Cr (0.6391, 0.1391, 0.5000)  6 As 2.54-2.55, 1 Cr 2.71
Cr (0.8609, 0.6391, 0.5000)  6 As 2.54-2.55, 1 Cr 2.71
As (0.1542, 0.6542, 0.0000)  6 Cr 2.54-2.55, 2 Ti 2.61
As (0.3458, 0.1542, 0.0000)  6 Cr 2.54-2.55, 2 Ti 2.61
As (0.6542, 0.8458, 0.0000)  6 Cr 2.54-2.55, 2 Ti 2.61
As (0.8458, 0.3458, 0.0000)  6 Cr 2.54-2.55, 2 Ti 2.61

SG: P4/mbm


Taking the most stable structure as the zero point, the relative energies in kJ/mol of atoms are version one 10.9; version two 0.0.


Version one
# TiCrAs2

Crystalline TiCrAs2 at its relaxed geometry (GGA-PBE, the Alexandria database).

abc: 6.1822 6.1822 6.1822
angles: 90.00 90.00 90.00
Last column: nearest neighbours and their distance in Å.
Positions (direct):
Ti (0.0000, 0.0000, 0.0000)  8 As 2.68
Ti (0.0000, 0.5000, 0.5000)  8 As 2.68
Ti (0.5000, 0.0000, 0.5000)  8 As 2.68
Ti (0.5000, 0.5000, 0.0000)  8 As 2.68
Cr (0.0000, 0.0000, 0.5000)  8 As 2.68
Cr (0.0000, 0.5000, 0.0000)  8 As 2.68
Cr (0.5000, 0.0000, 0.0000)  8 As 2.68
Cr (0.5000, 0.5000, 0.5000)  8 As 2.68
As (0.2500, 0.2500, 0.2500)  4 Cr 2.68, 4 Ti 2.68
As (0.2500, 0.2500, 0.7500)  4 Cr 2.68, 4 Ti 2.68
As (0.2500, 0.7500, 0.2500)  4 Cr 2.68, 4 Ti 2.68
As (0.2500, 0.7500, 0.7500)  4 Cr 2.68, 4 Ti 2.68
As (0.7500, 0.2500, 0.2500)  4 Cr 2.68, 4 Ti 2.68
As (0.7500, 0.2500, 0.7500)  4 Cr 2.68, 4 Ti 2.68
As (0.7500, 0.7500, 0.2500)  4 Cr 2.68, 4 Ti 2.68
As (0.7500, 0.7500, 0.7500)  4 Cr 2.68, 4 Ti 2.68

SG: Fm-3m


Version two
# TiCrAs2

Crystalline TiCrAs2 at its relaxed geometry (GGA-PBE, the Alexandria database).

abc: 3.7075 3.7075 17.1535
angles: 90.00 90.00 120.00
Last column: nearest neighbours and their distance in Å.
Positions (direct):
Ti (0.0000, 0.0000, 0.0000)  6 As 2.62
Ti (0.3333, 0.6667, 0.6667)  6 As 2.62
Ti (0.6667, 0.3333, 0.3333)  6 As 2.62
Cr (0.0000, 0.0000, 0.5000)  6 As 2.53
Cr (0.3333, 0.6667, 0.1667)  6 As 2.53
Cr (0.6667, 0.3333, 0.8333)  6 As 2.53
As (0.0000, 0.0000, 0.2455)  3 Cr 2.53, 3 Ti 2.62
As (0.0000, 0.0000, 0.7545)  3 Cr 2.53, 3 Ti 2.62
As (0.3333, 0.6667, 0.4211)  3 Cr 2.53, 3 Ti 2.62
As (0.3333, 0.6667, 0.9122)  3 Cr 2.53, 3 Ti 2.62
As (0.6667, 0.3333, 0.0878)  3 Cr 2.53, 3 Ti 2.62
As (0.6667, 0.3333, 0.5789)  3 Cr 2.53, 3 Ti 2.62

SG: R-3m


Version three
# TiCrAs2

Crystalline TiCrAs2 at its relaxed geometry (GGA-PBE, the Alexandria database).

abc: 5.7902 5.7902 11.3199
angles: 90.00 90.00 90.00
Last column: nearest neighbours and their distance in Å.
Positions (direct):
Ti (0.0000, 0.0000, 0.0000)  4 As 2.50
Ti (0.0000, 0.5000, 0.2500)  4 As 2.50
Ti (0.5000, 0.0000, 0.7500)  4 As 2.50
Ti (0.5000, 0.5000, 0.5000)  4 As 2.50
Cr (0.0000, 0.0000, 0.5000)  4 As 2.48
Cr (0.0000, 0.5000, 0.7500)  4 As 2.48
Cr (0.5000, 0.0000, 0.2500)  4 As 2.48
Cr (0.5000, 0.5000, 0.0000)  4 As 2.48
As (0.2462, 0.2500, 0.6250)  2 Cr 2.48, 2 Ti 2.50
As (0.2500, 0.7462, 0.8750)  2 Cr 2.48, 2 Ti 2.50
As (0.2500, 0.7538, 0.3750)  2 Cr 2.48, 2 Ti 2.50
As (0.2538, 0.2500, 0.1250)  2 Cr 2.48, 2 Ti 2.50
As (0.7462, 0.7500, 0.1250)  2 Cr 2.48, 2 Ti 2.50
As (0.7500, 0.2462, 0.3750)  2 Cr 2.48, 2 Ti 2.50
As (0.7500, 0.2538, 0.8750)  2 Cr 2.48, 2 Ti 2.50
As (0.7538, 0.7500, 0.6250)  2 Cr 2.48, 2 Ti 2.50

SG: I-42d


Taking the most stable structure as the zero point, the relative energies in kJ/mol of atoms are version one 17.7; version two 0.0; version three 37.1.


Version one
# TlCr2As2

Crystalline TlCr2As2 at its relaxed geometry (GGA-PBE, the Alexandria database).

abc: 3.8861 3.8861 12.2334
angles: 90.00 90.00 90.00
Last column: nearest neighbours and their distance in Å.
Positions (direct):
Tl (0.0000, 0.0000, 0.0000)  8 Cr 3.08
Tl (0.5000, 0.5000, 0.5000)  8 Cr 3.08
Cr (0.0000, 0.0000, 0.3868)  4 As 2.56, 1 Cr 2.77
Cr (0.0000, 0.0000, 0.6132)  4 As 2.56, 1 Cr 2.77
Cr (0.5000, 0.5000, 0.1132)  4 As 2.56, 1 Cr 2.77
Cr (0.5000, 0.5000, 0.8868)  4 As 2.56, 1 Cr 2.77
As (0.0000, 0.5000, 0.2500)  4 Cr 2.56, 4 As 2.75
As (0.0000, 0.5000, 0.7500)  4 Cr 2.56, 4 As 2.75
As (0.5000, 0.0000, 0.2500)  4 Cr 2.56, 4 As 2.75
As (0.5000, 0.0000, 0.7500)  4 Cr 2.56, 4 As 2.75

SG: I4/mmm


Version two
# TlCr2As2

Crystalline TlCr2As2 at its relaxed geometry (GGA-PBE, the Alexandria database).

abc: 3.5357 3.5357 15.8456
angles: 90.00 90.00 90.00
Last column: nearest neighbours and their distance in Å.
Positions (direct):
Tl (0.0000, 0.0000, 0.0000)  8 As 3.36, 4 Tl 3.54
Tl (0.5000, 0.5000, 0.5000)  8 As 3.36, 4 Tl 3.54
Cr (0.0000, 0.5000, 0.2500)  4 As 2.46, 4 Cr 2.50
Cr (0.0000, 0.5000, 0.7500)  4 As 2.46, 4 Cr 2.50
Cr (0.5000, 0.0000, 0.2500)  4 As 2.46, 4 Cr 2.50
Cr (0.5000, 0.0000, 0.7500)  4 As 2.46, 4 Cr 2.50
As (0.0000, 0.0000, 0.3582)  4 Cr 2.46
As (0.0000, 0.0000, 0.6418)  4 Cr 2.46
As (0.5000, 0.5000, 0.1418)  4 Cr 2.46
As (0.5000, 0.5000, 0.8582)  4 Cr 2.46

SG: I4/mmm


Taking the most stable structure as the zero point, the relative energies in kJ/mol of atoms are version one 31.7; version two 0.0.


Version one
# V2CrAs

Crystalline V2CrAs at its relaxed geometry (GGA-PBE, the Alexandria database).

abc: 3.7117 3.7117 3.8128
angles: 90.00 90.00 90.00
Last column: nearest neighbours and their distance in Å.
Positions (direct):
V (0.0000, 0.5000, 0.0000)  4 V 2.62, 4 Cr 2.66, 4 As 2.66
V (0.5000, 0.0000, 0.0000)  4 V 2.62, 4 Cr 2.66, 4 As 2.66
Cr (0.0000, 0.0000, 0.5000)  4 As 2.62, 8 V 2.66
As (0.5000, 0.5000, 0.5000)  4 Cr 2.62, 8 V 2.66

SG: P4/mmm


Version two
# V2CrAs

Crystalline V2CrAs at its relaxed geometry (GGA-PBE, the Alexandria database).

abc: 3.1703 3.1703 5.2844
angles: 90.00 90.00 90.00
Last column: nearest neighbours and their distance in Å.
Positions (direct):
V (0.0000, 0.0000, 0.2495)  4 As 2.60, 4 Cr 2.60, 2 V 2.64-2.65
V (0.0000, 0.0000, 0.7505)  4 As 2.60, 4 Cr 2.60, 2 V 2.64-2.65
Cr (0.5000, 0.5000, 0.5000)  8 V 2.60, 2 As 2.64
As (0.5000, 0.5000, 0.0000)  8 V 2.60, 2 Cr 2.64

SG: P4/mmm


Version three
# V2CrAs

Crystalline V2CrAs at its relaxed geometry (GGA-PBE, the Alexandria database).

abc: 5.9472 5.9472 5.9472
angles: 90.00 90.00 90.00
Last column: nearest neighbours and their distance in Å.
Positions (direct):
V (0.2500, 0.2500, 0.2500)  4 Cr 2.58, 4 As 2.58
V (0.2500, 0.2500, 0.7500)  4 Cr 2.58, 4 As 2.58
V (0.2500, 0.7500, 0.2500)  4 Cr 2.58, 4 As 2.58
V (0.2500, 0.7500, 0.7500)  4 Cr 2.58, 4 As 2.58
V (0.7500, 0.2500, 0.2500)  4 Cr 2.58, 4 As 2.58
V (0.7500, 0.2500, 0.7500)  4 Cr 2.58, 4 As 2.58
V (0.7500, 0.7500, 0.2500)  4 Cr 2.58, 4 As 2.58
V (0.7500, 0.7500, 0.7500)  4 Cr 2.58, 4 As 2.58
Cr (0.0000, 0.0000, 0.0000)  8 V 2.58
Cr (0.0000, 0.5000, 0.5000)  8 V 2.58
Cr (0.5000, 0.0000, 0.5000)  8 V 2.58
Cr (0.5000, 0.5000, 0.0000)  8 V 2.58
As (0.0000, 0.0000, 0.5000)  8 V 2.58
As (0.0000, 0.5000, 0.0000)  8 V 2.58
As (0.5000, 0.0000, 0.0000)  8 V 2.58
As (0.5000, 0.5000, 0.5000)  8 V 2.58

SG: Fm-3m


Taking the most stable structure as the zero point, the relative energies in kJ/mol of atoms are version one 0.0; version two 1.6; version three 11.1.